No. 1
! PbBr3F (GGA-PBE, optimized geometry); values from VASP
! - offset from the most stable computed form (meV/atom) = 14.4
! - size of the total moment (μB per cell) = 0.000
! - crystal system = cubic
! - uncorrected formation energy (eV/atom) = -0.20
! - symmetry = Pm-3m
! - calculated total energy (eV/atom) = -2.322
! - calculated density (g/cm³) = 5.99
&SYSTEM
  ibrav = 0, nat = 5, ntyp = 3
/
ATOMIC_SPECIES
Pb 207.20 Pb.upf
Br 79.90 Br.upf
F 19.00 F.upf
ATOMIC_POSITIONS crystal
Pb 0.500 0.500 0.500
Br 0.500 0.000 0.000
Br 0.000 0.500 0.000
Br 0.000 0.000 0.500
F 0.000 0.000 0.000
CELL_PARAMETERS angstrom
-3.991 -2.490 1.851
0.981 -3.874 -3.096
2.943 -2.085 3.541


No. 2
! CePuAl (GGA-PBE, optimized geometry); values from VASP
! - offset from the most stable computed form (meV/atom) = 0.0
! - size of the total moment (μB per cell) = 6.768
! - crystal system = tetragonal
! - symmetry = I4mm
! - calculated total energy (eV/atom) = -8.162
! - calculated density (g/cm³) = 9.63
&SYSTEM
  ibrav = 0, nat = 3, ntyp = 3
/
ATOMIC_SPECIES
Ce 140.12 Ce.upf
Al 26.98 Al.upf
Pu 244.00 Pu.upf
ATOMIC_POSITIONS crystal
Ce 0.282 0.282 0.564
Al 0.615 0.615 0.230
Pu 0.953 0.953 0.906
CELL_PARAMETERS angstrom
-2.808 1.505 -2.147
-1.387 -3.523 -0.655
-0.685 1.380 5.300


No. 3
! NbTeHPd (GGA-PBE, optimized geometry); values from VASP
! - offset from the most stable computed form (meV/atom) = 192.6
! - size of the total moment (μB per cell) = 0.762
! - crystal system = orthorhombic
! - symmetry = Pmm2
! - calculated total energy (eV/atom) = -5.477
! - calculated density (g/cm³) = 7.86
&SYSTEM
  ibrav = 0, nat = 4, ntyp = 4
/
ATOMIC_SPECIES
Pd 106.42 Pd.upf
H 1.01 H.upf
Nb 92.91 Nb.upf
Te 127.60 Te.upf
ATOMIC_POSITIONS crystal
Pd 0.500 0.000 0.245
H 0.500 0.500 0.080
Nb 0.000 0.500 0.065
Te 0.000 0.000 0.593
CELL_PARAMETERS angstrom
-2.670 3.046 1.525
-1.162 -2.181 2.322
3.346 1.425 3.012


No. 4
! NpBeCd2O6 (GGA-PBE, optimized geometry); values from VASP
! - size of the total moment (μB per cell) = 1.000
! - crystal system = monoclinic
! - uncorrected formation energy (eV/atom) = -1.89
! - symmetry = C2/m
! - calculated total energy (eV/atom) = -6.713
! - calculated density (g/cm³) = 7.75
&SYSTEM
  ibrav = 0, nat = 10, ntyp = 4
/
ATOMIC_SPECIES
O 16.00 O.upf
Cd 112.41 Cd.upf
Np 237.00 Np.upf
Be 9.01 Be.upf
ATOMIC_POSITIONS crystal
O 0.212 0.170 0.880
O 0.788 0.290 0.120
O 0.788 0.830 0.120
O 0.645 0.273 0.545
O 0.212 0.710 0.880
O 0.355 0.727 0.455
Cd 0.791 0.746 0.491
Cd 0.209 0.254 0.509
Np 0.000 0.500 0.000
Be 0.500 0.000 0.000
CELL_PARAMETERS angstrom
5.268 0.000 -0.420
0.000 5.466 0.000
-2.564 -2.733 4.420


No. 5
! Si2AsSe (GGA-PBE, optimized geometry); values from VASP
! - offset from the most stable computed form (meV/atom) = 522.0
! - size of the total moment (μB per cell) = 0.000
! - crystal system = cubic
! - uncorrected formation energy (eV/atom) = 0.51
! - symmetry = Fm-3m
! - calculated total energy (eV/atom) = -4.237
! - calculated density (g/cm³) = 4.97
&SYSTEM
  ibrav = 0, nat = 4, ntyp = 3
/
ATOMIC_SPECIES
As 74.92 As.upf
Si 28.09 Si.upf
Se 78.96 Se.upf
ATOMIC_POSITIONS crystal
As 0.000 0.000 0.000
Si 0.250 0.250 0.250
Si 0.750 0.750 0.750
Se 0.500 0.500 0.500
CELL_PARAMETERS angstrom
-0.501 -0.929 4.509
-2.730 2.666 2.624
-4.021 -1.659 1.589


No. 6
! Na2NbH2O6 (GGA-PBE, optimized geometry); values from VASP
! - size of the total moment (μB per cell) = 3.030
! - crystal system = trigonal
! - symmetry = P-3
! - calculated total energy (eV/atom) = -5.575
! - calculated density (g/cm³) = 3.21
&SYSTEM
  ibrav = 0, nat = 11, ntyp = 4
/
ATOMIC_SPECIES
O 16.00 O.upf
Nb 92.91 Nb.upf
Na 22.99 Na.upf
H 1.01 H.upf
ATOMIC_POSITIONS crystal
O 0.641 0.818 0.774
O 0.818 0.177 0.226
O 0.359 0.182 0.226
O 0.823 0.641 0.226
O 0.177 0.359 0.774
O 0.182 0.823 0.774
Nb 0.000 0.000 0.000
Na 0.667 0.333 0.647
Na 0.333 0.667 0.353
H 0.667 0.333 0.213
H 0.333 0.667 0.787
CELL_PARAMETERS angstrom
-4.339 0.198 -2.740
0.557 -3.546 3.673
-2.112 3.387 3.589


No. 7
! Sm6TlZn6 (GGA-PBE, optimized geometry); values from VASP
! - size of the total moment (μB per cell) = 1.488
! - crystal system = hexagonal
! - symmetry = P6/mmm
! - calculated total energy (eV/atom) = -3.135
! - calculated density (g/cm³) = 7.67
&SYSTEM
  ibrav = 0, nat = 13, ntyp = 3
/
ATOMIC_SPECIES
Zn 65.41 Zn.upf
Sm 150.36 Sm.upf
Tl 204.38 Tl.upf
ATOMIC_POSITIONS crystal
Zn 0.000 0.500 0.249
Zn 0.500 0.500 0.249
Zn 0.500 0.000 0.751
Zn 0.000 0.500 0.751
Zn 0.500 0.500 0.751
Zn 0.500 0.000 0.249
Sm 0.667 0.333 0.500
Sm 0.000 0.000 0.685
Sm 0.000 0.000 0.315
Sm 0.333 0.667 0.500
Sm 0.333 0.667 0.000
Sm 0.667 0.333 0.000
Tl 0.000 0.000 0.000
CELL_PARAMETERS angstrom
-5.006 -1.776 -2.747
4.302 -3.965 1.237
-4.428 -1.903 9.300


No. 8
! HoScSe (GGA-PBE, optimized geometry); values from VASP
! - size of the total moment (μB per cell) = 0.107
! - crystal system = trigonal
! - uncorrected formation energy (eV/atom) = -1.04
! - symmetry = P3m1
! - calculated total energy (eV/atom) = -5.840
! - calculated density (g/cm³) = 6.34
&SYSTEM
  ibrav = 0, nat = 3, ntyp = 3
/
ATOMIC_SPECIES
Se 78.96 Se.upf
Sc 44.96 Sc.upf
Ho 164.93 Ho.upf
ATOMIC_POSITIONS crystal
Se 0.333 0.667 0.680
Sc 0.000 0.000 0.941
Ho 0.667 0.333 0.379
CELL_PARAMETERS angstrom
3.752 0.000 0.000
-1.876 3.249 0.000
0.000 0.000 6.206


No. 9
! Ce2AlGePd (GGA-PBE, optimized geometry); values from VASP
! - size of the total moment (μB per cell) = 2.152
! - crystal system = tetragonal
! - symmetry = P4/nmm
! - calculated total energy (eV/atom) = -5.722
! - calculated density (g/cm³) = 6.73
&SYSTEM
  ibrav = 0, nat = 10, ntyp = 4
/
ATOMIC_SPECIES
Ce 140.12 Ce.upf
Al 26.98 Al.upf
Pd 106.42 Pd.upf
Ge 72.64 Ge.upf
ATOMIC_POSITIONS crystal
Ce 0.500 0.000 0.317
Ce 0.500 0.000 0.884
Ce 0.000 0.500 0.116
Ce 0.000 0.500 0.683
Al 0.000 0.000 0.500
Al 0.500 0.500 0.500
Pd 0.500 0.000 0.612
Pd 0.000 0.500 0.388
Ge 0.000 0.500 0.897
Ge 0.500 0.000 0.103
CELL_PARAMETERS angstrom
4.204 0.000 0.000
0.000 4.204 0.000
0.000 0.000 13.583


No. 10
! Ba3Pa3SnN8 (GGA-PBE, optimized geometry); values from VASP
! - size of the total moment (μB per cell) = 0.000
! - crystal system = trigonal
! - uncorrected formation energy (eV/atom) = -0.95
! - symmetry = R-3m
! - calculated total energy (eV/atom) = -7.945
! - calculated density (g/cm³) = 7.82
&SYSTEM
  ibrav = 0, nat = 15, ntyp = 4
/
ATOMIC_SPECIES
Sn 118.71 Sn.upf
N 14.01 N.upf
Ba 137.33 Ba.upf
Pa 231.04 Pa.upf
ATOMIC_POSITIONS crystal
Sn 0.000 0.000 0.500
N 0.717 0.945 0.673
N 0.772 0.545 0.327
N 0.726 0.452 0.678
N 0.772 0.055 0.327
N 0.274 0.548 0.322
N 0.228 0.455 0.673
N 0.283 0.055 0.327
N 0.228 0.945 0.673
Ba 0.000 0.000 0.000
Ba 0.000 0.500 0.000
Ba 0.500 0.500 0.000
Pa 0.500 0.000 0.500
Pa 0.000 0.500 0.500
Pa 0.500 0.500 0.500
CELL_PARAMETERS angstrom
-0.535 -1.536 -6.936
-2.521 -4.558 4.862
-3.873 6.496 -1.140


No. 11
! LiPuCu4 (GGA-PBE, optimized geometry); values from VASP
! - size of the total moment (μB per cell) = 5.946
! - crystal system = cubic
! - symmetry = F-43m
! - calculated total energy (eV/atom) = -5.438
! - calculated density (g/cm³) = 9.05
&SYSTEM
  ibrav = 0, nat = 6, ntyp = 3
/
ATOMIC_SPECIES
Cu 63.55 Cu.upf
Pu 244.00 Pu.upf
Li 6.94 Li.upf
ATOMIC_POSITIONS crystal
Cu 0.626 0.121 0.626
Cu 0.121 0.626 0.626
Cu 0.626 0.626 0.121
Cu 0.626 0.626 0.626
Pu 0.250 0.250 0.250
Li 0.000 0.000 0.000
CELL_PARAMETERS angstrom
-2.770 3.368 2.607
-1.103 -0.856 4.885
2.176 2.815 3.627


No. 12
! UZn2Pd8 (GGA-PBE, optimized geometry); values from VASP
! - size of the total moment (μB per cell) = 1.048
! - crystal system = monoclinic
! - symmetry = C2/m
! - calculated total energy (eV/atom) = -5.471
! - calculated density (g/cm³) = 11.56
&SYSTEM
  ibrav = 0, nat = 11, ntyp = 3
/
ATOMIC_SPECIES
Pd 106.42 Pd.upf
Zn 65.41 Zn.upf
U 238.03 U.upf
ATOMIC_POSITIONS crystal
Pd 0.043 0.732 0.085
Pd 0.149 0.209 0.298
Pd 0.400 0.540 0.799
Pd 0.680 0.929 0.359
Pd 0.851 0.791 0.702
Pd 0.600 0.460 0.201
Pd 0.320 0.071 0.641
Pd 0.957 0.268 0.915
Zn 0.219 0.649 0.437
Zn 0.781 0.351 0.563
U 0.500 0.000 0.000
CELL_PARAMETERS angstrom
-0.436 -2.616 3.234
6.341 -0.668 0.315
-1.770 6.627 2.419


No. 13
! TbDyGaHg (GGA-PBE, optimized geometry); values from VASP
! - size of the total moment (μB per cell) = 0.007
! - crystal system = cubic
! - symmetry = F-43m
! - calculated total energy (eV/atom) = -3.653
! - calculated density (g/cm³) = 9.95
&SYSTEM
  ibrav = 0, nat = 4, ntyp = 4
/
ATOMIC_SPECIES
Dy 162.50 Dy.upf
Ga 69.72 Ga.upf
Hg 200.59 Hg.upf
Tb 158.93 Tb.upf
ATOMIC_POSITIONS crystal
Dy 0.500 0.500 0.500
Ga 0.250 0.250 0.250
Hg 0.750 0.750 0.750
Tb 0.000 0.000 0.000
CELL_PARAMETERS angstrom
5.188 0.000 0.000
2.594 4.493 0.000
2.594 1.498 4.236


No. 14
! TiFeBi2N (GGA-PBE, optimized geometry); values from VASP
! - size of the total moment (μB per cell) = 3.215
! - crystal system = tetragonal
! - uncorrected formation energy (eV/atom) = 0.58
! - symmetry = P4/mmm
! - calculated total energy (eV/atom) = -5.908
! - calculated density (g/cm³) = 7.56
&SYSTEM
  ibrav = 0, nat = 5, ntyp = 4
/
ATOMIC_SPECIES
Bi 208.98 Bi.upf
Ti 47.87 Ti.upf
N 14.01 N.upf
Fe 55.84 Fe.upf
ATOMIC_POSITIONS crystal
Bi 0.000 0.000 0.500
Bi 0.500 0.000 0.000
Ti 0.000 0.000 0.000
N 0.000 0.500 0.000
Fe 0.500 0.500 0.500
CELL_PARAMETERS angstrom
-4.222 3.667 0.703
-2.363 -2.811 0.472
1.002 0.090 5.546


No. 15
! Nd2MgSn2Rh5 (GGA-PBE, optimized geometry); values from VASP
! - size of the total moment (μB per cell) = 0.000
! - crystal system = tetragonal
! - symmetry = P4/mbm
! - calculated total energy (eV/atom) = -6.093
! - calculated density (g/cm³) = 8.92
&SYSTEM
  ibrav = 0, nat = 20, ntyp = 4
/
ATOMIC_SPECIES
Nd 144.24 Nd.upf
Rh 102.91 Rh.upf
Sn 118.71 Sn.upf
Mg 24.30 Mg.upf
ATOMIC_POSITIONS crystal
Nd 0.000 0.671 0.171
Nd 0.000 0.829 0.671
Nd 0.000 0.329 0.829
Nd 0.000 0.171 0.329
Rh 0.500 0.058 0.798
Rh 0.500 0.558 0.702
Rh 0.500 0.942 0.202
Rh 0.500 0.500 0.000
Rh 0.500 0.298 0.558
Rh 0.500 0.202 0.058
Rh 0.500 0.702 0.442
Rh 0.500 0.798 0.942
Rh 0.500 0.442 0.298
Rh 0.500 0.000 0.500
Sn 0.000 0.372 0.128
Sn 0.000 0.628 0.872
Sn 0.000 0.872 0.372
Sn 0.000 0.128 0.628
Mg 0.000 0.500 0.500
Mg 0.000 0.000 0.000
CELL_PARAMETERS angstrom
-0.028 -2.197 -2.975
0.971 -8.297 6.118
-10.309 -0.734 0.640


No. 16
! In2Ga2Br5 (GGA-PBE, optimized geometry); values from VASP
! - offset from the most stable computed form (meV/atom) = 13.8
! - size of the total moment (μB per cell) = 0.000
! - crystal system = monoclinic
! - uncorrected formation energy (eV/atom) = -0.57
! - symmetry = C2/m
! - calculated total energy (eV/atom) = -2.779
! - calculated density (g/cm³) = 4.09
&SYSTEM
  ibrav = 0, nat = 9, ntyp = 3
/
ATOMIC_SPECIES
Br 79.90 Br.upf
In 114.82 In.upf
Ga 69.72 Ga.upf
ATOMIC_POSITIONS crystal
Br 0.332 0.663 0.026
Br 0.000 0.000 0.000
Br 0.668 0.337 0.974
Br 0.152 0.304 0.506
Br 0.848 0.696 0.494
In 0.426 0.851 0.650
In 0.574 0.149 0.350
Ga 0.851 0.702 0.069
Ga 0.149 0.298 0.931
CELL_PARAMETERS angstrom
5.494 0.000 0.000
-2.747 9.177 0.476
0.000 -1.066 6.131


No. 17
! SmHo2Bi (GGA-PBE, optimized geometry); values from VASP
! - offset from the most stable computed form (meV/atom) = 474.9
! - size of the total moment (μB per cell) = 0.000
! - crystal system = trigonal
! - symmetry = R-3m
! - calculated total energy (eV/atom) = -4.412
! - calculated density (g/cm³) = 8.70
&SYSTEM
  ibrav = 0, nat = 4, ntyp = 3
/
ATOMIC_SPECIES
Ho 164.93 Ho.upf
Bi 208.98 Bi.upf
Sm 150.36 Sm.upf
ATOMIC_POSITIONS crystal
Ho 0.087 0.087 0.739
Ho 0.913 0.913 0.261
Bi 0.000 0.000 0.000
Sm 0.500 0.500 0.500
CELL_PARAMETERS angstrom
-2.579 1.670 -1.785
-3.111 -1.622 -0.560
-6.109 4.534 9.534


No. 18
! Ba2MgCd (GGA-PBE, optimized geometry); values from VASP
! - size of the total moment (μB per cell) = 0.000
! - crystal system = trigonal
! - symmetry = R-3m
! - calculated total energy (eV/atom) = -1.572
! - calculated density (g/cm³) = 3.86
&SYSTEM
  ibrav = 0, nat = 4, ntyp = 3
/
ATOMIC_SPECIES
Ba 137.33 Ba.upf
Cd 112.41 Cd.upf
Mg 24.30 Mg.upf
ATOMIC_POSITIONS crystal
Ba 0.504 0.504 0.504
Ba 0.996 0.996 0.996
Cd 0.250 0.250 0.250
Mg 0.750 0.750 0.750
CELL_PARAMETERS angstrom
11.147 -0.002 -0.001
10.304 4.251 -0.001
10.304 2.041 3.729


no.,volume (Å³/atom)
1,25.828
2,23.641
3,17.323
4,12.140
5,17.554
6,11.146
7,24.948
8,25.214
9,24.011
10,18.901
11,15.454
12,15.933
13,24.687
14,23.526
15,19.827
16,34.659
17,32.869
18,44.204